Here is a crystal of RbTaH2 relaxed with PBEsol from Alexandria via LeMat-Bulk. Energies are from meta-GGA SCAN.

POSCAR file:
```
RbTaH2
1.0
5.497 0.014 0.020
-2.601 4.842 -0.020
-2.601 -1.740 4.519
Ta H Rb
2 4 2
Direct
0.500 0.750 0.250 Ta
0.000 0.000 0.000 Ta
0.109 0.734 0.125 H
0.609 0.875 0.984 H
0.891 0.016 0.625 H
0.391 0.375 0.266 H
0.500 0.250 0.750 Rb
0.000 0.500 0.500 Rb
```

Raw total energy   -183.724 eV for the cell shown

Here is a crystal of RbTa3H relaxed with PBEsol from Alexandria via LeMat-Bulk. Energies are from meta-GGA SCAN.

POSCAR file:
```
RbTa3H
1.0
4.754 0.000 0.000
0.000 4.754 0.000
0.000 0.000 4.754
Ta H Rb
3 1 1
Direct
0.500 0.000 0.000 Ta
0.000 0.000 0.500 Ta
0.000 0.500 0.000 Ta
0.500 0.500 0.500 H
0.000 0.000 0.000 Rb
```

Raw total energy   -203.152 eV for the cell shown

Here is a crystal of RbYTaH2 relaxed with PBEsol from Alexandria via LeMat-Bulk. Energies are from meta-GGA SCAN.

POSCAR file:
```
RbYTaH2
1.0
4.302 0.000 0.000
0.000 4.302 0.000
0.000 0.000 6.376
H Rb Ta Y
2 1 1 1
Direct
0.500 0.000 0.000 H
0.000 0.500 0.000 H
0.000 0.000 0.000 Rb
0.500 0.500 0.500 Ta
0.000 0.000 0.500 Y
```

Raw total energy   -113.093 eV for the cell shown

Here is a crystal of Rb3TeH relaxed with PBEsol from Alexandria via LeMat-Bulk. Energies are from meta-GGA SCAN.

POSCAR file:
```
Rb3TeH
1.0
-4.593 -2.794 -1.246
2.868 -3.150 -3.508
1.065 -3.568 4.074
Rb H Te
3 1 1
Direct
0.000 0.000 0.500 Rb
0.500 0.000 0.000 Rb
0.000 0.500 0.000 Rb
0.000 0.000 0.000 H
0.500 0.500 0.500 Te
```

Raw total energy   -107.001 eV for the cell shown

Here is a crystal of RbTiH2 relaxed with PBEsol from Alexandria via LeMat-Bulk. Energies are from meta-GGA SCAN.

POSCAR file:
```
RbTiH2
1.0
4.444 0.000 0.000
2.222 3.848 0.000
2.222 1.283 3.628
H Ti Rb
2 1 1
Direct
0.750 0.750 0.750 H
0.250 0.250 0.250 H
0.000 0.000 0.000 Ti
0.500 0.500 0.500 Rb
```

Raw total energy   -40.509 eV for the cell shown

Here is a crystal of Rb2TlHW relaxed with PBEsol from Alexandria via LeMat-Bulk. Energies are from meta-GGA SCAN.

POSCAR file:
```
Rb2TlHW
1.0
-4.147 -2.768 -1.082
2.857 -4.225 -0.143
-0.844 -0.745 5.144
Rb Tl H W
2 1 1 1
Direct
0.000 0.500 0.000 Rb
0.500 0.000 0.000 Rb
0.000 0.000 0.500 Tl
0.000 0.000 0.000 H
0.500 0.500 0.500 W
```

Raw total energy   -180.756 eV for the cell shown

Here is a crystal of RbH2W relaxed with PBEsol from Alexandria via LeMat-Bulk. Energies are from meta-GGA SCAN.

POSCAR file:
```
RbH2W
1.0
5.382 0.016 0.023
-2.588 4.720 -0.023
-2.588 -1.665 4.416
H Rb W
4 2 2
Direct
0.111 0.736 0.125 H
0.611 0.875 0.986 H
0.389 0.375 0.264 H
0.889 0.014 0.625 H
0.000 0.500 0.500 Rb
0.500 0.250 0.750 Rb
0.500 0.750 0.250 W
0.000 0.000 0.000 W
```

Raw total energy   -187.386 eV for the cell shown

Here is a crystal of RbZn3H relaxed with PBEsol from Alexandria via LeMat-Bulk. Energies are from meta-GGA SCAN.

POSCAR file:
```
RbZn3H
1.0
4.683 0.000 0.000
0.000 4.683 0.000
0.000 0.000 4.683
Zn Rb H
3 1 1
Direct
0.000 0.000 0.500 Zn
0.000 0.500 0.000 Zn
0.500 0.000 0.000 Zn
0.500 0.500 0.500 Rb
0.000 0.000 0.000 H
```

Raw total energy   -61.515 eV for the cell shown